# 1
The following is a PBE calculation of a relaxed MoHIrOs2 crystal, from Alexandria via LeMat-Bulk.

Output
magnetization: 0.000 μB per formula unit
raw total energy: -9.06 eV/atom

Cell: 3.9134 3.9134 3.9668 Å, 90.00 90.00 90.00°
Element x y z (fractional)
Mo 0.0000 0.0000 0.0000
H 0.0000 0.0000 0.5000
Ir 0.5000 0.5000 0.0000
Os 0.0000 0.5000 0.5000
Os 0.5000 0.0000 0.5000

# 2
The following is a PBE calculation of a relaxed Mo2HIrPd crystal, from Alexandria via LeMat-Bulk.

Output
magnetization: 0.000 μB per formula unit
raw total energy: -6.94 eV/atom

Cell: 4.9400 4.9400 3.0977 Å, 90.00 90.00 90.00°
Element x y z (fractional)
Mo 0.0000 0.5000 0.0000
Mo 0.5000 0.0000 0.0000
H 0.0000 0.0000 0.5000
Ir 0.0000 0.0000 0.0000
Pd 0.5000 0.5000 0.5000

# 3
The following is a PBE calculation of a relaxed Mo2HIrPd crystal, from Alexandria via LeMat-Bulk.

Output
magnetization: 0.000 μB per formula unit
raw total energy: -7.81 eV/atom

Cell: 3.9454 3.9454 4.0407 Å, 90.00 90.00 90.00°
Element x y z (fractional)
Mo 0.0000 0.5000 0.0000
Mo 0.5000 0.0000 0.0000
H 0.0000 0.0000 0.0000
Ir 0.0000 0.0000 0.5000
Pd 0.5000 0.5000 0.5000

# 4
The following is a PBE calculation of a relaxed Mo2HIrPd crystal, from Alexandria via LeMat-Bulk.

Output
magnetization: 0.000 μB per formula unit
raw total energy: -7.82 eV/atom

Cell: 3.9325 3.9325 4.0646 Å, 90.00 90.00 90.00°
Element x y z (fractional)
Mo 0.0000 0.5000 0.0000
Mo 0.5000 0.0000 0.0000
H 0.0000 0.0000 0.0000
Ir 0.5000 0.5000 0.5000
Pd 0.0000 0.0000 0.5000

# 5
The following is a PBE calculation of a relaxed MoHIr2Pt crystal, from Alexandria via LeMat-Bulk.

Output
magnetization: 0.654 μB per formula unit
raw total energy: -7.57 eV/atom

Cell: 3.9596 3.9596 3.9884 Å, 90.00 90.00 90.00°
Element x y z (fractional)
Mo 0.0000 0.0000 0.0000
H 0.0000 0.0000 0.5000
Ir 0.0000 0.5000 0.5000
Ir 0.5000 0.0000 0.5000
Pt 0.5000 0.5000 0.0000

# 6
The following is a PBE calculation of a relaxed ReMo2HIr crystal, from Alexandria via LeMat-Bulk.

Output
magnetization: 0.000 μB per formula unit
raw total energy: -9.28 eV/atom

Cell: 4.0106 4.0106 3.9133 Å, 90.00 90.00 90.00°
Element x y z (fractional)
Re 0.0000 0.0000 0.0000
Mo 0.0000 0.5000 0.5000
Mo 0.5000 0.0000 0.5000
H 0.5000 0.5000 0.5000
Ir 0.5000 0.5000 0.0000

# 7
The following is a PBE calculation of a relaxed ReMoHIr2 crystal, from Alexandria via LeMat-Bulk.

Output
magnetization: 0.000 μB per formula unit
raw total energy: -8.92 eV/atom

Cell: 3.9029 3.9029 4.0464 Å, 90.00 90.00 90.00°
Element x y z (fractional)
Re 0.0000 0.0000 0.0000
Mo 0.5000 0.5000 0.0000
H 0.0000 0.0000 0.5000
Ir 0.0000 0.5000 0.5000
Ir 0.5000 0.0000 0.5000

# 8
The following is a PBE calculation of a relaxed ReMoHIr2 crystal, from Alexandria via LeMat-Bulk.

Output
magnetization: 0.000 μB per formula unit
raw total energy: -8.92 eV/atom

Cell: 3.8923 3.8923 4.0632 Å, 90.00 90.00 90.00°
Element x y z (fractional)
Re 0.0000 0.0000 0.0000
Mo 0.5000 0.5000 0.0000
H 0.5000 0.5000 0.5000
Ir 0.0000 0.5000 0.5000
Ir 0.5000 0.0000 0.5000

# 9
The following is a PBE calculation of a relaxed ReMo2HIr crystal, from Alexandria via LeMat-Bulk.

Output
magnetization: 0.000 μB per formula unit
raw total energy: -9.30 eV/atom

Cell: 3.9884 3.9884 3.9534 Å, 90.00 90.00 90.00°
Element x y z (fractional)
Re 0.0000 0.0000 0.0000
Mo 0.0000 0.5000 0.5000
Mo 0.5000 0.0000 0.5000
H 0.0000 0.0000 0.5000
Ir 0.5000 0.5000 0.0000

# 10
The following is a PBE calculation of a relaxed MoHIr2Rh crystal, from Alexandria via LeMat-Bulk.

Output
magnetization: 0.001 μB per formula unit
raw total energy: -7.87 eV/atom

Cell: 3.9164 3.9164 3.9892 Å, 90.00 90.00 90.00°
Element x y z (fractional)
Mo 0.0000 0.0000 0.0000
H 0.0000 0.0000 0.5000
Ir 0.0000 0.5000 0.5000
Ir 0.5000 0.0000 0.5000
Rh 0.5000 0.5000 0.0000

# 11
The following is a PBE calculation of a relaxed MoHIr2Rh crystal, from Alexandria via LeMat-Bulk.

Output
magnetization: 0.628 μB per formula unit
raw total energy: -7.88 eV/atom

Cell: 3.9519 3.9519 3.9239 Å, 90.00 90.00 90.00°
Element x y z (fractional)
Mo 0.0000 0.0000 0.0000
H 0.5000 0.5000 0.5000
Ir 0.0000 0.5000 0.5000
Ir 0.5000 0.0000 0.5000
Rh 0.5000 0.5000 0.0000

# 12
The following is a PBE calculation of a relaxed MoHIrRu2 crystal, from Alexandria via LeMat-Bulk.

Output
magnetization: 0.000 μB per formula unit
raw total energy: -8.39 eV/atom

Cell: 3.8896 3.8896 3.9593 Å, 90.00 90.00 90.00°
Element x y z (fractional)
Mo 0.0000 0.0000 0.0000
H 0.0000 0.0000 0.5000
Ir 0.5000 0.5000 0.0000
Ru 0.0000 0.5000 0.5000
Ru 0.5000 0.0000 0.5000

# 13
The following is a PBE calculation of a relaxed MoHIr2Ru crystal, from Alexandria via LeMat-Bulk.

Output
magnetization: 0.000 μB per formula unit
raw total energy: -8.26 eV/atom

Cell: 3.8867 3.8867 4.0247 Å, 90.00 90.00 90.00°
Element x y z (fractional)
Mo 0.0000 0.0000 0.0000
H 0.0000 0.0000 0.5000
Ir 0.0000 0.5000 0.5000
Ir 0.5000 0.0000 0.5000
Ru 0.5000 0.5000 0.0000

# 14
The following is a PBE calculation of a relaxed MoHIrRu2 crystal, from Alexandria via LeMat-Bulk.

Output
magnetization: 0.000 μB per formula unit
raw total energy: -8.39 eV/atom

Cell: 3.9273 3.9273 3.8909 Å, 90.00 90.00 90.00°
Element x y z (fractional)
Mo 0.0000 0.0000 0.0000
H 0.5000 0.5000 0.5000
Ir 0.5000 0.5000 0.0000
Ru 0.0000 0.5000 0.5000
Ru 0.5000 0.0000 0.5000

# 15
The following is a PBE calculation of a relaxed MoHIr2Ru crystal, from Alexandria via LeMat-Bulk.

Output
magnetization: 0.000 μB per formula unit
raw total energy: -8.30 eV/atom

Cell: 3.9120 3.9120 3.9668 Å, 90.00 90.00 90.00°
Element x y z (fractional)
Mo 0.0000 0.0000 0.0000
H 0.5000 0.5000 0.5000
Ir 0.0000 0.5000 0.5000
Ir 0.5000 0.0000 0.5000
Ru 0.5000 0.5000 0.0000

# 16
The following is a PBE calculation of a relaxed Sc2MoHIr crystal, from Alexandria via LeMat-Bulk.

Output
magnetization: 0.316 μB per formula unit
raw total energy: -7.52 eV/atom

Cell: 4.5353 4.5353 3.5301 Å, 90.00 90.00 90.00°
Element x y z (fractional)
Sc 0.0000 0.5000 0.0000
Sc 0.5000 0.0000 0.0000
Mo 0.0000 0.0000 0.5000
H 0.0000 0.0000 0.0000
Ir 0.5000 0.5000 0.5000

# 17
The following is a PBE calculation of a relaxed SnMo2HIr crystal, from Alexandria via LeMat-Bulk.

Output
magnetization: 0.000 μB per formula unit
raw total energy: -7.43 eV/atom

Cell: 3.8953 3.8953 4.5387 Å, 90.00 90.00 90.00°
Element x y z (fractional)
Sn 0.0000 0.0000 0.0000
Mo 0.0000 0.5000 0.5000
Mo 0.5000 0.0000 0.5000
H 0.5000 0.5000 0.5000
Ir 0.5000 0.5000 0.0000

# 18
The following is a PBE calculation of a relaxed SrMoHIr2 crystal, from Alexandria via LeMat-Bulk.

Output
magnetization: 0.000 μB per formula unit
raw total energy: -4.91 eV/atom

Cell: 5.1608 5.1608 3.1685 Å, 90.00 90.00 90.00°
Element x y z (fractional)
Sr 0.0000 0.0000 0.0000
Mo 0.5000 0.5000 0.5000
H 0.0000 0.0000 0.5000
Ir 0.0000 0.5000 0.0000
Ir 0.5000 0.0000 0.0000

# 19
The following is a PBE calculation of a relaxed TaMoHIr2 crystal, from Alexandria via LeMat-Bulk.

Output
magnetization: 0.000 μB per formula unit
raw total energy: -9.03 eV/atom

Cell: 3.9523 3.9523 4.1160 Å, 90.00 90.00 90.00°
Element x y z (fractional)
Ta 0.0000 0.0000 0.0000
Mo 0.5000 0.5000 0.0000
H 0.0000 0.0000 0.5000
Ir 0.0000 0.5000 0.5000
Ir 0.5000 0.0000 0.5000

# 20
The following is a PBE calculation of a relaxed TaMoHIr2 crystal, from Alexandria via LeMat-Bulk.

Output
magnetization: 0.000 μB per formula unit
raw total energy: -9.06 eV/atom

Cell: 3.9654 3.9654 4.0827 Å, 90.00 90.00 90.00°
Element x y z (fractional)
Ta 0.0000 0.0000 0.0000
Mo 0.5000 0.5000 0.0000
H 0.5000 0.5000 0.5000
Ir 0.0000 0.5000 0.5000
Ir 0.5000 0.0000 0.5000